# 1
The following is a DFT calculation (PBE) of crystalline Pr5Nd12Al2 at its relaxed geometry.

abc: 18.318 8.130 9.132
angles: 90.00 108.48 90.00
Space group C2/m (No. 12)
One atom of each set of equivalent atoms:
Pr (0.000, 0.000, 0.000)
Pr (0.184, 0.500, 0.668)
Pr (0.250, 0.000, 0.718)
Nd (0.016, 0.500, 0.191)
Nd (0.053, 0.000, 0.667)
Nd (0.134, 0.200, 0.364)
Nd (0.153, 0.234, 0.970)
Al (0.000, 0.339, 0.500)

## Properties
V: 33.944 Å³/atom
formation energy from the elements: 52 meV/atom
uncorrected energy: -0.1695 hartree per atom


# 2
The following is a DFT calculation (PBE) of crystalline PrNd5Al6 at its relaxed geometry.

abc: 9.136 15.834 5.280
angles: 90.00 125.22 90.00
Space group C2/m (No. 12)
One atom of each set of equivalent atoms:
Pr (0.000, 0.000, 0.000)
Nd (0.000, 0.166, 0.500)
Nd (0.000, 0.333, 0.000)
Nd (0.000, 0.500, 0.500)
Al (0.247, 0.500, 0.247)
Al (0.248, 0.333, 0.748)

## Properties
V: 25.998 Å³/atom
formation energy from the elements: -350 meV/atom
uncorrected energy: -0.1693 hartree per atom


# 3
The following is a DFT calculation (PBE) of crystalline PrNd2Al6 at its relaxed geometry.

abc: 7.9566 7.9566 3.7975
angles: 90.00 90.00 120.00
Space group P6/mmm (No. 191)
One atom of each set of equivalent atoms:
Pr (0.0000, 0.0000, 0.0000)
Nd (0.3333, 0.6667, 0.0000)
Al (0.0000, 0.3338, 0.5000)

## Properties
V: 23.134 Å³/atom
formation energy from the elements: -473 meV/atom
uncorrected energy: -0.1675 hartree per atom


# 4
The following is a DFT calculation (PBE) of crystalline Pr2NdAl at its relaxed geometry.

abc: 6.969 9.855 6.974
angles: 90.00 90.00 90.00
Space group Imma (No. 74)
One atom of each set of equivalent atoms:
Pr (0.000, 0.000, 0.000)
Pr (0.250, 0.250, 0.250)
Nd (0.250, 0.250, 0.750)
Al (0.000, 0.000, 0.500)

## Properties
V: 29.934 Å³/atom
formation energy from the elements: -170 meV/atom
uncorrected energy: -0.1722 hartree per atom


# 5
The following is a DFT calculation (PBE) of crystalline Pr3Nd4Al at its relaxed geometry.

abc: 27.560 3.538 5.726
angles: 90.00 101.44 90.00
Space group C2/m (No. 12)
One atom of each set of equivalent atoms:
Pr (0.000, 0.000, 0.000)
Pr (0.154, 0.000, 0.162)
Nd (0.094, 0.000, 0.605)
Nd (0.216, 0.500, 0.719)
Al (0.000, 0.500, 0.500)

## Properties
V: 34.203 Å³/atom
formation energy from the elements: 83 meV/atom
uncorrected energy: -0.1676 hartree per atom


# 6
The following is a DFT calculation (PBE) of crystalline Pr2NdAl at its relaxed geometry.

abc: 3.7422 3.7422 32.3626
angles: 90.00 90.00 120.00
Space group R3m (No. 160, hexagonal axes)
One atom of each set of equivalent atoms:
Pr (0.0000, 0.0000, 0.0000)
Pr (0.0000, 0.0000, 0.1906)
Nd (0.0000, 0.0000, 0.4285)
Al (0.0000, 0.0000, 0.5949)

## Properties
V: 32.702 Å³/atom
formation energy from the elements: -21 meV/atom
uncorrected energy: -0.1668 hartree per atom


# 7
The following is a DFT calculation (PBE) of crystalline Pr5NdAl2 at its relaxed geometry.

abc: 3.740 10.792 12.494
angles: 90.00 90.00 90.00
Space group Immm (No. 71)
One atom of each set of equivalent atoms:
Pr (0.000, 0.000, 0.000)
Pr (0.000, 0.283, 0.357)
Nd (0.000, 0.500, 0.000)
Al (0.000, 0.000, 0.275)

## Properties
V: 31.519 Å³/atom
formation energy from the elements: -63 meV/atom
uncorrected energy: -0.1684 hartree per atom


# 8
The following is a DFT calculation (PBE) of crystalline Pr4NdAl4 at its relaxed geometry.

abc: 8.990 8.990 6.140
angles: 90.00 90.00 90.00
Space group P4_2/n (No. 86, origin choice 2)
One atom of each set of equivalent atoms:
Pr (0.078, 0.824, 0.130)
Nd (0.250, 0.250, 0.750)
Al (0.062, 0.160, 0.346)

## Properties
V: 27.568 Å³/atom
formation energy from the elements: -137 meV/atom
uncorrected energy: -0.1637 hartree per atom


# 9
The following is a DFT calculation (PBE) of crystalline Pr2NdAl at its relaxed geometry.

abc: 7.847 7.847 7.847
angles: 90.00 90.00 90.00
Space group Fm-3m (No. 225)
One atom of each set of equivalent atoms:
Pr (0.250, 0.250, 0.250)
Nd (0.000, 0.000, 0.000)
Al (0.000, 0.000, 0.500)

## Properties
V: 30.202 Å³/atom
formation energy from the elements: -17 meV/atom
uncorrected energy: -0.1666 hartree per atom


# 10
The following is a DFT calculation (PBE) of crystalline PrNd14Al at its relaxed geometry.

abc: 11.274 8.680 11.154
angles: 90.00 90.00 90.00
Space group Amm2 (No. 38)
One atom of each set of equivalent atoms:
Pr (0.000, 0.000, 0.000)
Nd (0.000, 0.211, 0.730)
Nd (0.233, 0.000, 0.232)
Nd (0.233, 0.204, 0.510)
Nd (0.258, 0.000, 0.799)
Nd (0.500, 0.000, 0.011)
Nd (0.500, 0.000, 0.433)
Nd (0.500, 0.211, 0.723)
Al (0.000, 0.000, 0.445)

## Properties
V: 34.110 Å³/atom
formation energy from the elements: 20 meV/atom
uncorrected energy: -0.1721 hartree per atom


# 11
The following is a DFT calculation (PBE) of crystalline Pr7NdAl4 at its relaxed geometry.

abc: 14.211 5.748 10.845
angles: 90.00 124.26 90.00
Space group C2/m (No. 12)
One atom of each set of equivalent atoms:
Pr (0.000, 0.000, 0.000)
Pr (0.066, 0.500, 0.388)
Pr (0.203, 0.000, 0.645)
Pr (0.206, 0.500, 0.879)
Nd (0.000, 0.500, 0.000)
Al (0.051, 0.000, 0.758)
Al (0.175, 0.000, 0.331)

## Properties
V: 30.508 Å³/atom
formation energy from the elements: -66 meV/atom
uncorrected energy: -0.1653 hartree per atom


# 12
The following is a DFT calculation (PBE) of crystalline Pr4NdAl at its relaxed geometry.

abc: 9.135 14.254 6.486
angles: 90.00 109.36 90.00
Space group C2/c (No. 15)
One atom of each set of equivalent atoms:
Pr (0.101, 0.182, 0.050)
Pr (0.221, 0.390, 0.373)
Nd (0.000, 0.406, 0.750)
Al (0.000, 0.000, 0.250)

## Properties
V: 33.195 Å³/atom
formation energy from the elements: -34 meV/atom
uncorrected energy: -0.1705 hartree per atom


# 13
The following is a DFT calculation (PBE) of crystalline Pr14NdAl at its relaxed geometry.

abc: 10.269 10.363 10.366
angles: 90.00 90.00 90.00
Space group Amm2 (No. 38)
One atom of each set of equivalent atoms:
Pr (0.000, 0.000, 0.000)
Pr (0.000, 0.000, 0.500)
Pr (0.000, 0.249, 0.250)
Pr (0.259, 0.000, 0.757)
Pr (0.259, 0.243, 0.000)
Pr (0.260, 0.000, 0.242)
Pr (0.500, 0.249, 0.750)
Nd (0.500, 0.000, 0.500)
Al (0.500, 0.000, 0.999)

## Properties
V: 34.473 Å³/atom
formation energy from the elements: -7 meV/atom
uncorrected energy: -0.1735 hartree per atom


# 14
The following is a DFT calculation (PBE) of crystalline PrNd4Al2 at its relaxed geometry.

abc: 5.889 5.889 12.765
angles: 90.00 90.00 90.00
Space group I4/mmm (No. 139)
One atom of each set of equivalent atoms:
Pr (0.000, 0.000, 0.000)
Nd (0.000, 0.500, 0.000)
Nd (0.000, 0.500, 0.250)
Al (0.000, 0.000, 0.388)

## Properties
V: 31.624 Å³/atom
formation energy from the elements: 198 meV/atom
uncorrected energy: -0.1572 hartree per atom


# 15
The following is a DFT calculation (PBE) of crystalline Pr15Nd4Al at its relaxed geometry.

abc: 5.159 5.159 26.169
angles: 90.00 90.00 90.00
Space group P4/mmm (No. 123)
One atom of each set of equivalent atoms:
Pr (0.000, 0.000, 0.000)
Pr (0.000, 0.000, 0.194)
Pr (0.000, 0.000, 0.398)
Pr (0.000, 0.500, 0.092)
Pr (0.000, 0.500, 0.296)
Pr (0.000, 0.500, 0.500)
Nd (0.500, 0.500, 0.195)
Nd (0.500, 0.500, 0.399)
Al (0.500, 0.500, 0.000)

## Properties
V: 34.820 Å³/atom
formation energy from the elements: -11 meV/atom
uncorrected energy: -0.1741 hartree per atom


# 16
The following is a DFT calculation (PBE) of crystalline Pr4NdAl at its relaxed geometry.

abc: 3.676 3.676 14.632
angles: 90.00 90.00 90.00
Space group P4/mmm (No. 123)
One atom of each set of equivalent atoms:
Pr (0.000, 0.000, 0.134)
Pr (0.500, 0.500, 0.320)
Nd (0.000, 0.000, 0.500)
Al (0.500, 0.500, 0.000)

## Properties
V: 32.946 Å³/atom
formation energy from the elements: -91 meV/atom
uncorrected energy: -0.1726 hartree per atom


# 17
The following is a DFT calculation (PBE) of crystalline Pr6NdAl at its relaxed geometry.

abc: 5.039 5.039 10.423
angles: 90.00 90.00 90.00
Space group P4/mmm (No. 123)
One atom of each set of equivalent atoms:
Pr (0.000, 0.000, 0.000)
Pr (0.000, 0.000, 0.500)
Pr (0.000, 0.500, 0.236)
Nd (0.500, 0.500, 0.500)
Al (0.500, 0.500, 0.000)

## Properties
V: 33.077 Å³/atom
formation energy from the elements: -54 meV/atom
uncorrected energy: -0.1728 hartree per atom


# 18
The following is a DFT calculation (PBE) of crystalline PrNd2Al4 at its relaxed geometry.

abc: 3.808 4.581 20.310
angles: 90.00 90.00 90.00
Space group Immm (No. 71)
One atom of each set of equivalent atoms:
Pr (0.000, 0.000, 0.000)
Nd (0.000, 0.500, 0.193)
Al (0.000, 0.000, 0.434)
Al (0.000, 0.500, 0.363)

## Properties
V: 25.307 Å³/atom
formation energy from the elements: -397 meV/atom
uncorrected energy: -0.1683 hartree per atom


# 19
The following is a DFT calculation (PBE) of crystalline PrNd2Al6 at its relaxed geometry.

abc: 4.513 7.383 13.626
angles: 90.00 90.00 90.00
Space group Immm (No. 71)
One atom of each set of equivalent atoms:
Pr (0.000, 0.000, 0.000)
Nd (0.000, 0.500, 0.126)
Al (0.000, 0.185, 0.500)
Al (0.000, 0.308, 0.318)

## Properties
V: 25.226 Å³/atom
formation energy from the elements: -222 meV/atom
uncorrected energy: -0.1583 hartree per atom


# 20
The following is a DFT calculation (PBE) of crystalline Pr8Nd5Al at its relaxed geometry.

abc: 10.459 10.459 9.052
angles: 90.00 90.00 90.00
Space group I-4 (No. 82)
One atom of each set of equivalent atoms:
Pr (0.024, 0.159, 0.190)
Pr (0.161, 0.242, 0.537)
Nd (0.000, 0.500, 0.250)
Nd (0.056, 0.344, 0.886)
Al (0.000, 0.000, 0.500)

## Properties
V: 35.363 Å³/atom
formation energy from the elements: 153 meV/atom
uncorrected energy: -0.1671 hartree per atom


# 21
The following is a DFT calculation (PBE) of crystalline Pr6Nd8Al at its relaxed geometry.

abc: 9.5845 9.5845 6.5902
angles: 90.00 90.00 120.00
Space group P-3 (No. 147)
One atom of each set of equivalent atoms:
Pr (0.0929, 0.6443, 0.1765)
Nd (0.0426, 0.7814, 0.6917)
Nd (0.3333, 0.6667, 0.6509)
Al (0.0000, 0.0000, 0.0000)

## Properties
V: 34.953 Å³/atom
formation energy from the elements: 70 meV/atom
uncorrected energy: -0.1703 hartree per atom